Run 1
Mg2Ag3Au3 | PBE | optimized geometry

Size of the total moment ... 0.00 μB/atom
Space group ... C2/m

abc: 13.020 4.890 4.893
angles: 90.00 111.84 90.00
Positions (direct):
Mg1 0.247 0.000 0.247
Mg2 0.253 0.500 0.753
Mg3 0.747 0.500 0.247
Mg4 0.753 0.000 0.753
Ag1 0.000 0.500 0.500
Ag2 0.124 0.500 0.124
Ag3 0.376 0.000 0.876
Ag4 0.500 0.000 0.500
Ag5 0.624 0.000 0.124
Ag6 0.876 0.500 0.876
Au1 0.000 0.000 0.000
Au2 0.132 0.000 0.633
Au3 0.368 0.500 0.367
Au4 0.500 0.500 0.000
Au5 0.632 0.500 0.633
Au6 0.868 0.000 0.367



Run 2
Mg2Ag3Au3 | PBE | optimized geometry

Size of the total moment ... 0.00 μB/atom
Space group ... R32

abc: 5.303 5.303 5.303
angles: 87.46 87.46 87.46
Positions (direct):
Mg1 0.236 0.236 0.236
Mg2 0.764 0.764 0.764
Ag1 0.263 0.737 0.500
Ag2 0.500 0.263 0.737
Ag3 0.737 0.500 0.263
Au1 0.000 0.253 0.747
Au2 0.253 0.747 0.000
Au3 0.747 0.000 0.253



Most stable: run 1 (next structure +0.055 eV/atom)